# 1
First-principles (PBE) data for a relaxed structure of MnBe, as listed in the Alexandria database.

Cell: 6.881 6.881 3.378 Å, 90.00 90.00 90.00°
Element x y z (fractional)
Mn: 0.500 0.190 0.500
Be: 0.836 0.836 0.500
Be: 0.336 0.336 0.000
Mn: 0.690 0.000 0.000
Be: 0.164 0.836 0.500
Be: 0.336 0.664 0.000
Mn: 0.500 0.810 0.500
Be: 0.664 0.336 0.000
Be: 0.164 0.164 0.500
Mn: 0.190 0.500 0.500
Mn: 0.310 0.000 0.000
Mn: 0.000 0.310 0.000
Be: 0.664 0.664 0.000
Be: 0.836 0.164 0.500
Mn: 0.810 0.500 0.500
Mn: 0.000 0.690 0.000

## Properties
E_tot = -6.268 eV per atom



# 2
First-principles (PBE) data for a relaxed structure of MnBe, as listed in the Alexandria database.

Cell: 3.634 3.634 6.704 Å, 90.00 90.00 120.00°
Element x y z (fractional)
Mn: 0.333 0.667 0.075
Mn: 0.667 0.333 0.925
Mn: 0.333 0.667 0.425
Be: 0.667 0.333 0.250
Mn: 0.667 0.333 0.575
Be: 0.333 0.667 0.750
Be: 0.000 0.000 0.750
Be: 0.000 0.000 0.250

## Properties
E_tot = -6.435 eV per atom



# 3
First-principles (PBE) data for a relaxed structure of Mn2BeMo, as listed in the Alexandria database.

Cell: 2.957 2.957 5.316 Å, 90.00 90.00 90.00°
Element x y z (fractional)
Mn: 0.000 0.000 0.969
Be: 0.500 0.500 0.750
Mn: 0.000 0.000 0.531
Mo: 0.500 0.500 0.250

## Properties
E_tot = -8.222 eV per atom



# 4
First-principles (PBE) data for a relaxed structure of MnBeMo2, as listed in the Alexandria database.

Cell: 4.247 4.247 4.247 Å, 60.00 60.00 60.00°
Element x y z (fractional)
Mo: 0.750 0.750 0.750
Be: 0.500 0.500 0.500
Mo: 0.000 0.000 0.000
Mn: 0.250 0.250 0.250

## Properties
E_tot = -8.464 eV per atom



# 5
First-principles (PBE) data for a relaxed structure of MnBe2Mo, as listed in the Alexandria database.

Cell: 2.614 2.614 6.474 Å, 90.00 90.00 89.99°
Element x y z (fractional)
Mn: 0.000 0.000 0.452
Be: 0.500 0.500 0.228
Mo: 0.500 0.500 0.773
Be: 0.000 0.000 0.047

## Properties
ΔE to the lowest computed polymorph = 0.330 eV/f.u.
E_tot = -6.840 eV per atom



# 6
First-principles (PBE) data for a relaxed structure of MnBeMo2, as listed in the Alexandria database.

Cell: 2.851 3.370 5.399 Å, 90.00 90.00 90.00°
Element x y z (fractional)
Be: 0.500 0.500 0.250
Mo: 0.000 0.000 0.488
Mn: 0.500 0.500 0.750
Mo: 0.000 0.000 0.012

## Properties
E_tot = -8.507 eV per atom



# 7
First-principles (PBE) data for a relaxed structure of Mn2BeMo, as listed in the Alexandria database.

Cell: 2.631 2.631 6.937 Å, 90.00 90.00 94.91°
Element x y z (fractional)
Mo: 0.500 0.500 0.250
Mn: 0.000 0.000 0.540
Mn: 0.000 0.000 0.960
Be: 0.500 0.500 0.750

## Properties
E_tot = -8.117 eV per atom



# 8
First-principles (PBE) data for a relaxed structure of Mn3BeMo2, as listed in the Alexandria database.

Cell: 4.648 4.648 4.680 Å, 90.94 120.11 118.58°
Element x y z (fractional)
Be: 0.000 0.000 0.000
Mo: 0.751 0.372 0.123
Mn: 0.500 0.500 0.500
Mn: 0.500 0.000 0.500
Mo: 0.249 0.628 0.877
Mn: 0.000 0.000 0.500

## Properties
E_tot = -8.887 eV per atom